# CoTcO3 | Alexandria via LeMat-Bulk | PBE+U | optimized geometry
# final energy	-7.25	eV per atom
data_CoTcO3
_chemical_formula_sum 'Co6 Tc6 O18'
_symmetry_space_group_name_H-M 'R -3'
_symmetry_Int_Tables_number 148
_symmetry_space_group_name_Hall '-R 3'
_cell_length_a 5.2242
_cell_length_b 5.2242
_cell_length_c 13.9908
_cell_angle_alpha 90.00
_cell_angle_beta 90.00
_cell_angle_gamma 120.00
loop_
_atom_site_label
_atom_site_type_symbol
_atom_site_fract_x
_atom_site_fract_y
_atom_site_fract_z
Co1 Co 0.0000 0.0000 0.1419
Tc1 Tc 0.0000 0.0000 0.3450
O1 O 0.0101 0.6969 0.2525